Material: K3Sr2TaO6
Method: DFT, PBE
State: optimized geometry

Summary:
Formation energy without anion corrections, eV per atom: -2.404
Symmetry: No. 12
Total magnetization, μB/atom: 0.000

Lattice parameters (Å, degrees): 6.157 6.157 6.518 99.14 99.14 120.02
Fractional coordinates of all 12 atoms:
O: 0.063 0.338 0.188
O: 0.937 0.662 0.812
O: 0.662 0.937 0.812
O: 0.338 0.063 0.188
O: 0.214 0.214 0.815
K: 0.162 0.838 0.500
Sr: 0.333 0.667 0.000
O: 0.786 0.786 0.185
Ta: 0.000 0.000 0.000
K: 0.838 0.162 0.500
Sr: 0.667 0.333 0.000
K: 0.500 0.500 0.500